Entry 1:
VASP calculation (PBE) on an optimized crystal structure of BeB.

For the energy relative to the elements, the calculation gives 65 meV/atom. Its calculated total energy is -5.14 eV per atom. As for the size of the total moment: 0.00 Bohr magnetons per cell.

The structure belongs to space group P2_1/m (No. 11); the cell edges are 3.043, 2.927 and 3.650 Å and the angles 90.00°, 114.29° and 90.00°. The asymmetric unit holds Be at (0.136, 0.250, 0.276) and B at (0.437, 0.250, 0.875).



Entry 2:
VASP calculation (PBE) on an optimized crystal structure of NpH8Rh4Au.

Its calculated total energy is -5.18 eV per atom. As for the size of the total moment: 10.47 Bohr magnetons per cell.

The structure belongs to space group R3m (No. 160, hexagonal axes); the cell edges are 5.5167, 5.5167 and 15.1456 Å and the angles 90.00°, 90.00° and 120.00°. The asymmetric unit holds Np at (0.0000, 0.0000, 0.0000), H at (0.0000, 0.0000, 0.2363), H at (0.0000, 0.0000, 0.7755), H at (0.0155, 0.5077, 0.2156), H at (0.1914, 0.3829, 0.1037), Rh at (0.0000, 0.0000, 0.3573), Rh at (0.1684, 0.3369, 0.8331) and Au at (0.0000, 0.0000, 0.6463).